1.
Entry from Alexandria: SrPr3Y2Te6 after structural relaxation (PBE).

Computed properties:
Crystal system: monoclinic
N(E_F), states/eV/atom: 0.50
Formation energy from raw total energies, eV per formula unit: -17.17
Total DFT energy (no corrections), eV per atom: -5.4140

Unit cell a=4.4731 b=9.0888 c=10.0907 alpha=103.84 beta=102.81 gamma=90.00
Closest atoms and distances in Å follow each position.
Fractional positions:
1 Te 0.3313 0.4277 0.6625  3 Y 3.09, 3 Pr 3.19-3.22
2 Te 0.0068 0.2548 0.0135  1 Y 3.10, 3 Pr 3.18-3.21, 2 Sr 3.20
3 Te 0.3297 0.9096 0.6594  2 Y 3.18, 3 Pr 3.21-3.30, 1 Sr 3.25
4 Te 0.6687 0.5723 0.3375  3 Y 3.09, 3 Pr 3.19-3.22
5 Te 0.6703 0.0904 0.3406  2 Y 3.18, 3 Pr 3.21-3.30, 1 Sr 3.25
6 Te 0.9932 0.7452 0.9865  1 Y 3.10, 3 Pr 3.18-3.21, 2 Sr 3.20
7 Pr 0.8387 0.1813 0.6774  6 Te 3.19-3.30
8 Pr 0.5000 0.5000 0.0000  6 Te 3.18-3.22
9 Pr 0.1613 0.8187 0.3226  6 Te 3.19-3.30
10 Y 0.8309 0.6613 0.6618  6 Te 3.09-3.18
11 Y 0.1691 0.3387 0.3382  6 Te 3.09-3.18
12 Sr 0.5000 0.0000 0.0000  6 Te 3.20-3.25



2.
Entry from Alexandria: CoCuSb2Au after structural relaxation (PBE).

Computed properties:
Crystal system: tetragonal
N(E_F), states/eV/atom: 0.42
Formation energy from raw total energies, eV per formula unit: 2.58
Total DFT energy (no corrections), eV per atom: -4.0280

Unit cell a=4.7281 b=4.9919 c=4.7281 alpha=90.00 beta=90.00 gamma=90.00
Closest atoms and distances in Å follow each position.
Fractional positions:
1 Co 0.0000 0.0000 0.0000  4 Sb 2.36, 2 Au 2.50
2 Sb 0.5000 0.0000 0.0000  2 Co 2.36
3 Sb 0.0000 0.0000 0.5000  2 Co 2.36
4 Au 0.0000 0.5000 0.0000  2 Co 2.50
5 Cu 0.5000 0.5000 0.5000  4 Au 3.34, 8 Sb 3.44



3.
Entry from Alexandria: Pr2NdIn3 after structural relaxation (PBE).

Computed properties:
Crystal system: orthorhombic
N(E_F), states/eV/atom: 0.76
Formation enthalpy at 0 K, eV/atom: -0.310
Total DFT energy (no corrections), eV per atom: -4.0669

Unit cell a=3.7812 b=6.7084 c=15.0584 alpha=90.00 beta=97.21 gamma=90.00
Closest atoms and distances in Å follow each position.
Fractional positions:
1 In 0.2579 0.2500 0.5159  2 Nd 3.24, 2 Pr 3.31
2 In 0.4236 0.0129 0.8471  2 In 3.18-3.53, 1 Nd 3.30, 6 Pr 3.33-3.50
3 In 0.5764 0.5129 0.1529  2 In 3.18-3.53, 1 Nd 3.30, 6 Pr 3.33-3.50
4 In 0.4236 0.4871 0.8471  2 In 3.18-3.53, 1 Nd 3.30, 6 Pr 3.33-3.50
5 In 0.5764 0.9871 0.1529  2 In 3.18-3.53, 1 Nd 3.30, 6 Pr 3.33-3.50
6 In 0.7421 0.7500 0.4841  2 Nd 3.24, 2 Pr 3.31
7 Pr 0.1512 0.7500 0.3024  6 In 3.31-3.33
8 Pr 0.9937 0.7500 0.9873  8 In 3.33-3.50, 2 Pr 3.38
9 Pr 0.8488 0.2500 0.6976  6 In 3.31-3.33
10 Pr 0.0063 0.2500 0.0127  8 In 3.33-3.50, 2 Pr 3.38
11 Nd 0.3302 0.7500 0.6604  4 In 3.24-3.30
12 Nd 0.6698 0.2500 0.3396  4 In 3.24-3.30



4.
Entry from Alexandria: Ho3Er after structural relaxation (PBE).

Computed properties:
Crystal system: tetragonal
N(E_F), states/eV/atom: 1.31
Formation enthalpy at 0 K, eV/atom: 0.020
Total DFT energy (no corrections), eV per atom: -4.5543

Unit cell a=6.0872 b=6.0872 c=6.0872 alpha=131.96 beta=131.96 gamma=70.29
Closest atoms and distances in Å follow each position.
Fractional positions:
1 Er 0.0000 0.0000 0.0000  12 Ho 3.50-3.51
2 Ho 0.2500 0.7500 0.5000  8 Ho 3.50-3.51, 4 Er 3.51
3 Ho 0.5000 0.5000 0.0000  4 Er 3.50, 8 Ho 3.51
4 Ho 0.7500 0.2500 0.5000  8 Ho 3.50-3.51, 4 Er 3.51